(1)
## Er2AlZn (PBE)

Data for crystalline Er2AlZn at its relaxed geometry.

Structure (POSCAR):
```
Er2AlZn
1.0
3.540 0.000 0.000
0.000 3.540 0.000
0.000 0.000 7.160
Er Al Zn
2 1 1
direct
0.000 0.000 0.245
0.000 0.000 0.755
0.500 0.500 0.500
0.500 0.500 0.000
```

* calculated total energy: -3.9199 eV per atom
* ρ: 7.90 g/cm³
* formation enthalpy at 0 K: -0.38 eV per atom
* total moment: 0.000 μB/cell

(2)
## Te4Mo3WS4 (PBE)

Data for crystalline Te4Mo3WS4 at its relaxed geometry.

Structure (POSCAR):
```
Te4Mo3WS4
1.0
3.361 0.000 0.000
-1.680 2.911 0.000
0.000 0.000 32.016
Te Mo W S
4 3 1 4
direct
0.000 0.000 0.000
0.000 0.000 0.118
0.000 0.000 0.551
0.000 0.000 0.670
0.000 0.000 0.387
0.000 0.000 0.834
0.333 0.667 0.059
0.333 0.667 0.611
0.333 0.667 0.340
0.333 0.667 0.434
0.333 0.667 0.787
0.333 0.667 0.881
```

* calculated total energy: -6.6594 eV per atom
* ρ: 5.89 g/cm³
* offset from the most stable computed form: 0.037 eV per atom
* raw formation energy: -43.3 kJ/mol of atoms
* total moment: 0.000 μB/cell

(3)
## AcDy2In2Hg2 (PBE)

Data for crystalline AcDy2In2Hg2 at its relaxed geometry.

Structure (POSCAR):
```
AcDy2In2Hg2
1.0
2.502 1.444 9.341
-2.502 1.444 9.341
0.000 -2.889 9.341
Ac Dy In Hg
1 2 2 2
direct
0.000 0.000 0.000
0.134 0.134 0.134
0.866 0.866 0.866
0.260 0.260 0.260
0.740 0.740 0.740
0.436 0.436 0.436
0.564 0.564 0.564
```

* calculated total energy: -3.1036 eV per atom
* ρ: 9.70 g/cm³
* formation enthalpy at 0 K: -0.33 eV per atom
* total moment: 0.000 μB/cell